# 1
Computed, not measured: TbY4Se5 after structural relaxation at the PBE level of DFT.

Cell lengths 5.796, 7.076, 7.076 Å; angles 80.34, 65.82, 65.82 degrees
Positions (direct):
1 Y 0.601 0.600 0.199
2 Y 0.801 0.801 0.600
3 Y 0.201 0.199 0.400
4 Y 0.401 0.400 0.801
5 Se 0.700 0.201 0.401
6 Se 0.302 0.799 0.599
7 Se 0.501 0.000 0.000
8 Se 0.101 0.599 0.201
9 Se 0.901 0.401 0.799
10 Tb 0.001 0.000 0.000

Calculated values
final energy	-6.557	eV per atom
size of the total moment	0.000	μB per atom

=====

# 2
Computed, not measured: TaCo2Ag after structural relaxation at the PBE level of DFT.

Cell lengths 2.726, 2.726, 8.208 Å; angles 90.00, 90.00, 105.58 degrees
Positions (direct):
1 Ta 0.500 0.500 0.250
2 Ag 0.500 0.500 0.750
3 Co 0.000 0.000 0.012
4 Co 0.000 0.000 0.488

Calculated values
final energy	-6.986	eV per atom
DFT formation energy	0.243	eV/atom
E above lowest polymorph	0.211	eV per atom
size of the total moment	0.622	μB per atom

=====

# 3
Computed, not measured: Nd5Sm2Rh4 after structural relaxation at the PBE level of DFT.

Cell lengths 3.727, 6.996, 12.417 Å; angles 87.15, 98.63, 90.00 degrees
Positions (direct):
1 Sm 0.085 0.356 0.171
2 Sm 0.915 0.644 0.829
3 Rh 0.974 0.299 0.947
4 Rh 0.332 0.480 0.664
5 Rh 0.668 0.520 0.336
6 Rh 0.026 0.701 0.053
7 Nd 0.867 0.176 0.733
8 Nd 0.769 0.719 0.539
9 Nd 0.500 0.000 0.000
10 Nd 0.231 0.281 0.461
11 Nd 0.133 0.824 0.267

Calculated values
final energy	-6.041	eV per atom
DFT formation energy	-0.343	eV/atom
size of the total moment	0.000	μB per atom

=====

# 4
Computed, not measured: MgTlRe3 after structural relaxation at the PBE level of DFT.

Cell lengths 4.976, 4.976, 4.976 Å; angles 90.00, 90.00, 90.00 degrees
Positions (direct):
1 Re 0.000 0.000 0.500
2 Re 0.000 0.500 0.000
3 Re 0.500 0.000 0.000
4 Tl 0.000 0.000 0.000
5 Mg 0.500 0.500 0.500

Calculated values
final energy	-5.197	eV per atom
DFT formation energy	3.064	eV/atom
size of the total moment	0.859	μB per atom

=====

# 5
Computed, not measured: PuV2P after structural relaxation at the PBE level of DFT.

Cell lengths 4.248, 4.248, 4.901 Å; angles 64.32, 64.32, 60.00 degrees
Positions (direct):
1 Pu 0.000 0.000 0.000
2 V 0.198 0.198 0.406
3 V 0.802 0.802 0.594
4 P 0.500 0.500 0.500

Calculated values
final energy	-9.678	eV per atom
DFT formation energy	-0.183	eV/atom
size of the total moment	1.239	μB per atom

=====

# 6
Computed, not measured: Pm3PaTe4 after structural relaxation at the PBE level of DFT.

Cell lengths 6.269, 6.269, 7.679 Å; angles 114.09, 114.09, 90.00 degrees
Positions (direct):
1 Pm 0.750 0.250 0.500
2 Pm 0.250 0.750 0.500
3 Pm 0.500 0.500 0.000
4 Te 0.500 0.000 0.000
5 Te 0.000 0.500 0.000
6 Te 0.248 0.248 0.495
7 Te 0.752 0.752 0.505
8 Pa 0.000 0.000 0.000

Calculated values
final energy	-5.728	eV per atom
size of the total moment	0.172	μB per atom

=====

# 7
Computed, not measured: BaMg after structural relaxation at the PBE level of DFT.

Cell lengths 10.125, 10.125, 10.125 Å; angles 90.00, 90.00, 90.00 degrees
Positions (direct):
1 Ba 0.000 0.750 0.500
2 Ba 0.250 0.500 0.000
3 Ba 0.750 0.500 0.000
4 Ba 0.500 0.000 0.250
5 Ba 0.000 0.250 0.500
6 Ba 0.500 0.000 0.750
7 Mg 0.000 0.500 0.750
8 Mg 0.750 0.000 0.500
9 Mg 0.250 0.000 0.500
10 Mg 0.000 0.500 0.250
11 Mg 0.500 0.750 0.000
12 Mg 0.500 0.250 0.000

Calculated values
final energy	-1.047	eV per atom
DFT formation energy	0.712	eV/atom
size of the total moment	0.000	μB per atom

=====

# 8
Computed, not measured: Pa4IrPtSe2 after structural relaxation at the PBE level of DFT.

Cell lengths 3.923, 7.450, 6.925 Å; angles 72.09, 90.00, 90.00 degrees
Positions (direct):
1 Pa 0.500 0.265 0.738
2 Pa 0.000 0.263 0.251
3 Pa 0.000 0.737 0.749
4 Pa 0.500 0.735 0.262
5 Pt 0.500 0.500 0.000
6 Se 0.000 0.000 0.000
7 Se 0.500 0.000 0.500
8 Ir 0.000 0.500 0.500

Calculated values
final energy	-8.479	eV per atom
size of the total moment	0.000	μB per atom

=====

# 9
Computed, not measured: SmSc2In2 after structural relaxation at the PBE level of DFT.

Cell lengths 4.480, 4.480, 13.842 Å; angles 99.31, 99.31, 90.00 degrees
Positions (direct):
1 Sc 0.928 0.928 0.857
2 Sc 0.072 0.072 0.143
3 Sc 0.250 0.750 0.500
4 Sc 0.750 0.250 0.500
5 In 0.500 0.000 0.000
6 In 0.175 0.175 0.351
7 In 0.825 0.825 0.649
8 In 0.000 0.500 0.000
9 Sm 0.372 0.372 0.743
10 Sm 0.628 0.628 0.257

Calculated values
final energy	-4.785	eV per atom
DFT formation energy	-0.213	eV/atom
E above lowest polymorph	0.000	eV per atom
size of the total moment	0.001	μB per atom

=====

# 10
Computed, not measured: NdBe4SiIr2 after structural relaxation at the PBE level of DFT.

Cell lengths 3.935, 3.935, 8.546 Å; angles 76.69, 76.69, 60.00 degrees
Positions (direct):
1 Be 0.590 0.590 0.231
2 Be 0.410 0.410 0.769
3 Be 0.122 0.122 0.635
4 Be 0.878 0.878 0.365
5 Ir 0.223 0.223 0.332
6 Ir 0.777 0.777 0.668
7 Nd 0.000 0.000 0.000
8 Si 0.500 0.500 0.500

Calculated values
final energy	-5.674	eV per atom
size of the total moment	0.000	μB per atom

=====

# 11
Computed, not measured: ScMn2Ru after structural relaxation at the PBE level of DFT.

Cell lengths 3.095, 3.095, 6.123 Å; angles 90.00, 90.00, 90.00 degrees
Positions (direct):
1 Sc 0.500 0.500 0.745
2 Mn 0.500 0.500 0.240
3 Mn 0.000 0.000 0.032
4 Ru 0.000 0.000 0.483

Calculated values
final energy	-8.539	eV per atom
DFT formation energy	-0.052	eV/atom
E above lowest polymorph	0.013	eV per atom
size of the total moment	0.328	μB per atom

=====

# 12
Computed, not measured: La2ReW after structural relaxation at the PBE level of DFT.

Cell lengths 10.024, 10.024, 10.024 Å; angles 18.79, 18.79, 18.79 degrees
Positions (direct):
1 Re 0.250 0.250 0.250
2 La 0.994 0.994 0.994
3 La 0.506 0.506 0.506
4 W 0.750 0.750 0.750

Calculated values
final energy	-7.745	eV per atom
DFT formation energy	1.069	eV/atom
E above lowest polymorph	0.870	eV per atom
size of the total moment	0.000	μB per atom

=====

# 13
Computed, not measured: Pm2Sm2Tm after structural relaxation at the PBE level of DFT.

Cell lengths 3.625, 3.623, 15.041 Å; angles 96.93, 83.08, 59.98 degrees
Positions (direct):
1 Sm 0.638 0.028 0.696
2 Sm 0.362 0.972 0.304
3 Tm 0.500 0.500 0.500
4 Pm 0.231 0.437 0.102
5 Pm 0.769 0.563 0.898

Calculated values
final energy	-4.676	eV per atom
DFT formation energy	0.006	eV/atom
E above lowest polymorph	0.000	eV per atom
size of the total moment	0.000	μB per atom

=====

# 14
Computed, not measured: TbTmCuPt after structural relaxation at the PBE level of DFT.

Cell lengths 3.745, 4.421, 5.565 Å; angles 90.00, 109.66, 90.00 degrees
Positions (direct):
1 Tb 0.860 0.500 0.721
2 Cu 0.422 0.000 0.843
3 Pt 0.580 0.500 0.160
4 Tm 0.138 0.000 0.276

Calculated values
final energy	-5.630	eV per atom
DFT formation energy	-0.820	eV/atom
E above lowest polymorph	0.000	eV per atom
size of the total moment	0.000	μB per atom

=====

# 15
Computed, not measured: Er2Cu2Si3 after structural relaxation at the PBE level of DFT.

Cell lengths 4.137, 6.570, 8.980 Å; angles 90.00, 103.32, 90.00 degrees
Positions (direct):
1 Er 0.051 0.750 0.103
2 Er 0.843 0.750 0.686
3 Er 0.157 0.250 0.314
4 Er 0.949 0.250 0.897
5 Cu 0.690 0.941 0.379
6 Cu 0.310 0.059 0.621
7 Cu 0.310 0.441 0.621
8 Cu 0.690 0.559 0.379
9 Si 0.562 0.069 0.124
10 Si 0.562 0.431 0.124
11 Si 0.438 0.569 0.876
12 Si 0.438 0.931 0.876
13 Si 0.778 0.250 0.556
14 Si 0.222 0.750 0.444

Calculated values
final energy	-5.450	eV per atom
size of the total moment	0.000	μB per atom

=====

# 16
Computed, not measured: SrBe2TlRe after structural relaxation at the PBE level of DFT.

Cell lengths 4.592, 6.245, 4.592 Å; angles 90.00, 90.00, 90.00 degrees
Positions (direct):
1 Re 0.500 0.500 0.500
2 Be 0.000 0.000 0.500
3 Be 0.500 0.000 0.000
4 Tl 0.000 0.000 0.000
5 Sr 0.000 0.500 0.000

Calculated values
final energy	-3.085	eV per atom
DFT formation energy	1.705	eV/atom
size of the total moment	0.756	μB per atom

=====

# 17
Computed, not measured: MnNbVS2 after structural relaxation at the PBE level of DFT.

Cell lengths 4.445, 4.147, 4.445 Å; angles 90.00, 90.00, 90.00 degrees
Positions (direct):
1 V 0.000 0.000 0.000
2 S 0.000 0.000 0.500
3 S 0.500 0.000 0.000
4 Nb 0.500 0.500 0.500
5 Mn 0.000 0.500 0.000

Calculated values
final energy	-6.686	eV per atom
size of the total moment	0.000	μB per atom

=====

# 18
Computed, not measured: NdAl2Ge after structural relaxation at the PBE level of DFT.

Cell lengths 3.903, 3.903, 8.971 Å; angles 77.43, 77.43, 60.00 degrees
Positions (direct):
1 Nd 0.000 0.000 0.000
2 Al 0.120 0.120 0.639
3 Al 0.880 0.880 0.361
4 Ge 0.500 0.500 0.500

Calculated values
final energy	-3.835	eV per atom
DFT formation energy	0.382	eV/atom
E above lowest polymorph	0.775	eV per atom
size of the total moment	0.000	μB per atom

=====

# 19
Computed, not measured: PaNi3 after structural relaxation at the PBE level of DFT.

Cell lengths 4.889, 4.889, 16.521 Å; angles 90.00, 90.00, 120.00 degrees
Positions (direct):
1 Ni 0.000 0.000 0.000
2 Ni 0.667 0.834 0.874
3 Ni 0.834 0.667 0.126
4 Ni 0.667 0.834 0.626
5 Ni 0.834 0.667 0.374
6 Ni 0.166 0.333 0.874
7 Ni 0.333 0.667 0.750
8 Ni 0.834 0.166 0.374
9 Ni 0.166 0.834 0.626
10 Ni 0.000 0.000 0.500
11 Ni 0.166 0.834 0.874
12 Ni 0.000 0.000 0.750
13 Ni 0.333 0.166 0.126
14 Ni 0.834 0.166 0.126
15 Ni 0.166 0.333 0.626
16 Ni 0.667 0.333 0.250
17 Ni 0.000 0.000 0.250
18 Ni 0.333 0.166 0.374
19 Pa 0.667 0.333 0.750
20 Pa 0.333 0.667 0.250
21 Pa 0.667 0.333 0.960
22 Pa 0.333 0.667 0.040
23 Pa 0.333 0.667 0.460
24 Pa 0.667 0.333 0.540

Calculated values
final energy	-7.137	eV per atom
DFT formation energy	-0.427	eV/atom
E above lowest polymorph	0.000	eV per atom
size of the total moment	0.000	μB per atom

=====

# 20
Computed, not measured: ZnGa3Ni6 after structural relaxation at the PBE level of DFT.

Cell lengths 4.172, 6.872, 9.044 Å; angles 112.29, 90.00, 90.00 degrees
Positions (direct):
1 Ni 0.250 0.065 0.873
2 Ni 0.250 0.665 0.679
3 Ni 0.750 0.843 0.820
4 Ni 0.250 0.854 0.278
5 Ni 0.750 0.335 0.321
6 Ni 0.750 0.737 0.517
7 Ni 0.750 0.146 0.722
8 Ni 0.250 0.263 0.483
9 Ni 0.750 0.935 0.127
10 Ni 0.250 0.458 0.075
11 Ni 0.750 0.542 0.925
12 Ni 0.250 0.157 0.180
13 Ga 0.750 0.218 0.019
14 Ga 0.750 0.458 0.624
15 Ga 0.250 0.361 0.783
16 Ga 0.250 0.542 0.376
17 Ga 0.250 0.782 0.981
18 Ga 0.750 0.639 0.217
19 Zn 0.250 0.957 0.580
20 Zn 0.750 0.043 0.420

Calculated values
final energy	-4.814	eV per atom
DFT formation energy	-0.310	eV/atom
size of the total moment	0.000	μB per atom

=====

# 21
Computed, not measured: LaDy2Co6 after structural relaxation at the PBE level of DFT.

Cell lengths 4.114, 6.718, 6.718 Å; angles 120.00, 90.00, 90.00 degrees
Positions (direct):
1 Dy 0.000 0.667 0.333
2 Dy 0.000 0.333 0.667
3 Co 0.500 0.000 0.664
4 Co 0.500 0.336 0.000
5 Co 0.500 0.664 0.664
6 Co 0.500 0.664 0.000
7 Co 0.500 0.000 0.336
8 Co 0.500 0.336 0.336
9 La 0.000 0.000 0.000

Calculated values
final energy	-6.442	eV per atom
DFT formation energy	-0.134	eV/atom
size of the total moment	0.480	μB per atom

=====

# 22
Computed, not measured: Ta3ReAs after structural relaxation at the PBE level of DFT.

Cell lengths 4.639, 4.639, 4.639 Å; angles 90.00, 90.00, 90.00 degrees
Positions (direct):
1 As 0.000 0.000 0.000
2 Ta 0.000 0.000 0.500
3 Ta 0.500 0.000 0.000
4 Ta 0.000 0.500 0.000
5 Re 0.500 0.500 0.500

Calculated values
final energy	-9.334	eV per atom
DFT formation energy	1.197	eV/atom
E above lowest polymorph	0.000	eV per atom
size of the total moment	0.000	μB per atom

=====

# 23
Computed, not measured: TbCd3Pd7 after structural relaxation at the PBE level of DFT.

Cell lengths 5.348, 7.250, 7.250 Å; angles 81.86, 119.35, 119.35 degrees
Positions (direct):
1 Pd 0.675 0.418 0.939
2 Pd 0.380 0.209 0.209
3 Pd 0.325 0.582 0.061
4 Pd 0.000 0.500 0.500
5 Pd 0.325 0.061 0.582
6 Pd 0.620 0.791 0.791
7 Pd 0.675 0.939 0.418
8 Cd 0.000 0.216 0.784
9 Cd 0.500 0.000 0.000
10 Cd 0.000 0.784 0.216
11 Tb 0.500 0.500 0.500

Calculated values
final energy	-4.253	eV per atom
DFT formation energy	-0.278	eV/atom
size of the total moment	0.000	μB per atom

=====

# 24
Computed, not measured: CrIn2Os after structural relaxation at the PBE level of DFT.

Cell lengths 4.234, 3.159, 5.556 Å; angles 73.46, 90.00, 90.00 degrees
Positions (direct):
1 Cr 0.500 0.572 0.732
2 Os 0.000 0.677 0.520
3 In 0.000 0.955 0.965
4 In 0.500 0.296 0.282

Calculated values
final energy	-6.120	eV per atom
DFT formation energy	0.463	eV/atom
E above lowest polymorph	0.216	eV per atom
size of the total moment	0.119	μB per atom